Record 1
Density functional theory data (PBE-GGA) for crystalline TiAsCl2 at its relaxed geometry.

**Uncorrected energy**: -19.1 eV per formula unit
**Total moment**: 0.000 μB/cell
**Energy relative to the lowest polymorph listed for this composition**: 0.000 eV/atom
**DOS at the Fermi energy**: 3.1 states/eV/f.u.

```
TiAsCl2
1.0
1.548 0.894 10.889
-1.548 0.894 10.889
0.000 -1.788 10.889
Ti As Cl
1 1 2
Direct
0.000 0.000 0.000
0.500 0.500 0.500
0.384 0.384 0.384
0.616 0.616 0.616
```



Record 2
Density functional theory data (PBE-GGA) for crystalline LiPrPH at its relaxed geometry.

**Uncorrected energy**: -19.2 eV per formula unit
**Total moment**: 0.000 μB/cell
**Energy relative to the lowest polymorph listed for this composition**: 0.000 eV/atom
**DOS at the Fermi energy**: 0.0 states/eV/f.u.

```
LiPrPH
1.0
3.944 0.000 0.000
0.000 3.944 0.000
0.000 0.000 8.367
Li Pr P H
2 2 2 2
Direct
0.250 0.750 0.000
0.750 0.250 0.000
0.250 0.250 0.330
0.750 0.750 0.670
0.250 0.250 0.809
0.750 0.750 0.191
0.250 0.750 0.500
0.750 0.250 0.500
```



Record 3
Density functional theory data (PBE-GGA) for crystalline K2NaLi at its relaxed geometry.

**Uncorrected energy**: -4.8 eV per formula unit
**Total moment**: 0.000 μB/cell
**Energy relative to the lowest polymorph listed for this composition**: 0.069 eV/atom
**DOS at the Fermi energy**: 2.2 states/eV/f.u.
**DFT formation energy**: 16 kJ/mol of atoms

```
K2NaLi
1.0
-5.106 5.106 3.848
5.106 -5.106 3.848
5.106 5.106 -3.848
K Na Li
4 2 2
Direct
0.110 0.125 0.485
0.375 0.890 0.015
0.640 0.625 0.515
0.875 0.360 0.985
0.250 0.750 0.500
0.500 0.500 0.000
0.000 0.000 0.000
0.750 0.250 0.500
```



Record 4
Density functional theory data (PBE-GGA) for crystalline ZnSi2Se at its relaxed geometry.

**Uncorrected energy**: -14.0 eV per formula unit
**Total moment**: 0.000 μB/cell
**Energy relative to the lowest polymorph listed for this composition**: 0.382 eV/atom
**DOS at the Fermi energy**: 1.8 states/eV/f.u.

```
ZnSi2Se
1.0
2.609 0.000 0.000
0.000 2.609 0.000
0.000 0.000 10.961
Zn Si Se
1 2 1
Direct
0.000 0.000 0.000
0.500 0.500 0.194
0.500 0.500 0.806
0.000 0.000 0.500
```



Record 5
Density functional theory data (PBE-GGA) for crystalline IrRuPt2 at its relaxed geometry.

**Uncorrected energy**: -28.8 eV per formula unit
**Total moment**: 0.000 μB/cell
**Energy relative to the lowest polymorph listed for this composition**: 0.409 eV/atom
**DOS at the Fermi energy**: 4.6 states/eV/f.u.
**DFT formation energy**: 35 kJ/mol of atoms

```
IrRuPt2
1.0
0.000 3.126 3.126
3.126 0.000 3.126
3.126 3.126 0.000
Ir Ru Pt
1 1 2
Direct
0.000 0.000 0.000
0.500 0.500 0.500
0.250 0.250 0.250
0.750 0.750 0.750
```



Record 6
Density functional theory data (PBE-GGA) for crystalline Cr2AgMo at its relaxed geometry.

**Uncorrected energy**: -31.1 eV per formula unit
**Total moment**: 0.000 μB/cell
**Energy relative to the lowest polymorph listed for this composition**: 0.110 eV/atom
**DOS at the Fermi energy**: 3.0 states/eV/f.u.
**DFT formation energy**: 44 kJ/mol of atoms

```
Cr2AgMo
1.0
2.677 0.000 0.000
0.000 3.995 0.000
-0.972 0.000 5.436
Cr Ag Mo
2 1 1
Direct
0.000 0.000 0.000
0.396 0.500 0.184
0.457 0.500 0.708
0.869 0.000 0.411
```



Record 7
Density functional theory data (PBE-GGA) for crystalline SmTl2I3Cl3 at its relaxed geometry.

**Uncorrected energy**: -30.4 eV per formula unit
**Total moment**: 0.000 μB/cell
**DOS at the Fermi energy**: 3.8 states/eV/f.u.

```
SmTl2I3Cl3
1.0
9.468 0.000 0.000
-4.734 8.200 0.000
0.000 0.000 3.900
Sm Tl I Cl
1 2 3 3
Direct
0.000 0.000 0.000
0.333 0.667 0.500
0.667 0.333 0.500
0.000 0.416 0.000
0.416 0.000 0.000
0.584 0.584 0.000
0.000 0.792 0.500
0.208 0.208 0.500
0.792 0.000 0.500
```



Record 8
Density functional theory data (PBE-GGA) for crystalline ZnSiRh2 at its relaxed geometry.

**Uncorrected energy**: -23.2 eV per formula unit
**Total moment**: 0.000 μB/cell
**Energy relative to the lowest polymorph listed for this composition**: 0.231 eV/atom
**DOS at the Fermi energy**: 3.2 states/eV/f.u.

```
ZnSiRh2
1.0
3.894 -1.451 0.000
3.894 1.451 0.000
-1.123 0.000 4.977
Zn Si Rh
1 1 2
Direct
0.000 0.000 0.000
0.500 0.500 0.500
0.237 0.237 0.732
0.763 0.763 0.268
```



Record 9
Density functional theory data (PBE-GGA) for crystalline Ce2TmSn at its relaxed geometry.

**Uncorrected energy**: -19.8 eV per formula unit
**Total moment**: 1.740 μB/cell
**Energy relative to the lowest polymorph listed for this composition**: 0.538 eV/atom
**DOS at the Fermi energy**: 10.1 states/eV/f.u.
**DFT formation energy**: 14 kJ/mol of atoms

```
Ce2TmSn
1.0
1.685 0.973 12.173
-1.685 0.973 12.173
0.000 -1.945 12.173
Ce Tm Sn
2 1 1
Direct
0.088 0.088 0.088
0.912 0.912 0.912
0.500 0.500 0.500
0.000 0.000 0.000
```



Record 10
Density functional theory data (PBE-GGA) for crystalline Pr7Cd2Os2 at its relaxed geometry.

**Uncorrected energy**: -58.7 eV per formula unit
**Total moment**: 0.000 μB/cell
**Energy relative to the lowest polymorph listed for this composition**: 0.000 eV/atom
**DOS at the Fermi energy**: 12.7 states/eV/f.u.
**DFT formation energy**: -8 kJ/mol of atoms

```
Pr7Cd2Os2
1.0
-2.001 7.952 5.251
2.001 -7.952 5.251
2.001 7.952 -5.251
Pr Cd Os
7 2 2
Direct
0.000 0.000 0.000
0.268 0.414 0.854
0.322 0.633 0.689
0.561 0.414 0.146
0.630 0.271 0.359
0.912 0.271 0.641
0.945 0.633 0.311
0.267 0.767 0.500
0.639 0.639 0.000
0.151 0.939 0.211
0.728 0.939 0.789
```



Record 11
Density functional theory data (PBE-GGA) for crystalline MnRh2W at its relaxed geometry.

**Uncorrected energy**: -37.4 eV per formula unit
**Total moment**: 3.109 μB/cell
**Energy relative to the lowest polymorph listed for this composition**: 0.027 eV/atom
**DOS at the Fermi energy**: 3.6 states/eV/f.u.
**DFT formation energy**: -14 kJ/mol of atoms

```
MnRh2W
1.0
2.783 0.000 0.000
0.000 3.764 0.000
0.000 0.000 5.494
Mn Rh W
1 2 1
Direct
0.000 0.000 0.000
0.500 0.500 0.246
0.500 0.500 0.754
0.000 0.000 0.500
```



Record 12
Density functional theory data (PBE-GGA) for crystalline Tb3Pr2In at its relaxed geometry.

**Uncorrected energy**: -27.0 eV per formula unit
**Total moment**: 0.000 μB/cell
**Energy relative to the lowest polymorph listed for this composition**: 0.010 eV/atom
**DOS at the Fermi energy**: 7.6 states/eV/f.u.
**DFT formation energy**: -13 kJ/mol of atoms

```
Tb3Pr2In
1.0
-2.596 4.677 7.859
2.596 -4.677 7.859
2.596 4.677 -7.859
Tb Pr In
6 4 2
Direct
0.000 0.000 0.000
0.215 0.672 0.543
0.371 0.328 0.043
0.500 0.000 0.500
0.629 0.672 0.957
0.785 0.328 0.457
0.075 0.825 0.250
0.225 0.475 0.750
0.775 0.525 0.250
0.925 0.175 0.750
0.396 0.146 0.250
0.604 0.854 0.750
```



What did the fifth record say?
Density functional theory data (PBE-GGA) for crystalline IrRuPt2 at its relaxed geometry.

**Uncorrected energy**: -28.8 eV per formula unit
**Total moment**: 0.000 μB/cell
**Energy relative to the lowest polymorph listed for this composition**: 0.409 eV/atom
**DOS at the Fermi energy**: 4.6 states/eV/f.u.
**DFT formation energy**: 35 kJ/mol of atoms

```
IrRuPt2
1.0
0.000 3.126 3.126
3.126 0.000 3.126
3.126 3.126 0.000
Ir Ru Pt
1 1 2
Direct
0.000 0.000 0.000
0.500 0.500 0.500
0.250 0.250 0.250
0.750 0.750 0.750
```



Copy entry 7 word for word.
Density functional theory data (PBE-GGA) for crystalline SmTl2I3Cl3 at its relaxed geometry.

**Uncorrected energy**: -30.4 eV per formula unit
**Total moment**: 0.000 μB/cell
**DOS at the Fermi energy**: 3.8 states/eV/f.u.

```
SmTl2I3Cl3
1.0
9.468 0.000 0.000
-4.734 8.200 0.000
0.000 0.000 3.900
Sm Tl I Cl
1 2 3 3
Direct
0.000 0.000 0.000
0.333 0.667 0.500
0.667 0.333 0.500
0.000 0.416 0.000
0.416 0.000 0.000
0.584 0.584 0.000
0.000 0.792 0.500
0.208 0.208 0.500
0.792 0.000 0.500
```